1.
A geometry-optimized Co2NiSn2 structure, computed with PBE-GGA.

a b c (Å): 6.4739 6.4739 3.6301
angles (deg): 90.00 90.00 90.00
Last column: nearest neighbours and their distance in Å.
Element x y z (fractional)
Sn 0.3270 0.1730 0.5000  6 Co 2.55-2.69
Sn 0.8270 0.3270 0.5000  6 Co 2.55-2.69
Ni 0.5000 0.5000 0.0000  4 Co 2.53
Sn 0.1730 0.6730 0.5000  6 Co 2.55-2.69
Sn 0.6730 0.8270 0.5000  6 Co 2.55-2.69
Ni 0.0000 0.0000 0.0000  4 Co 2.53
Co 0.8687 0.6313 0.0000  1 Co 2.40, 2 Ni 2.53, 2 Sn 2.55
Co 0.1313 0.3687 0.0000  1 Co 2.40, 2 Ni 2.53, 2 Sn 2.55
Co 0.3687 0.8687 0.0000  1 Co 2.40, 2 Ni 2.53, 2 Sn 2.55
Co 0.6313 0.1313 0.0000  1 Co 2.40, 2 Ni 2.53, 2 Sn 2.55

Values from the calculation:
- energy relative to the elements (meV per atom) = 117
- calculated total energy (eV/atom) = -5.4824
- space group = No. 127

---

2.
A geometry-optimized CoNiSn structure, computed with PBE-GGA.

a b c (Å): 3.2195 3.2195 4.6623
angles (deg): 110.20 110.20 90.00
Last column: nearest neighbours and their distance in Å.
Element x y z (fractional)
Sn 0.9500 0.9500 0.9000  5 Co 2.66-2.69, 5 Ni 2.66-2.69
Co 0.2811 0.2811 0.5622  5 Ni 2.63-2.75, 5 Sn 2.66-2.69
Ni 0.6189 0.6189 0.2379  5 Co 2.63-2.75, 5 Sn 2.66-2.69

Values from the calculation:
- energy relative to the elements (meV per atom) = 97
- calculated total energy (eV/atom) = -5.5328
- space group = No. 107